! Sm4Co2Hg | Alexandria | PBE-GGA | optimized geometry; values from VASP
! Symmetry: P1 (1)
! Volume (Å³/f.u.): 174.61
! Energy of formation (eV/atom): -0.1096
! Final energy (eV per cell): -68.32
! D(E_F) (states/eV per cell): 12.43
&SYSTEM
  ibrav = 0, nat = 14, ntyp = 3
/
ATOMIC_SPECIES
Sm 150.36 Sm.upf
Co 58.93 Co.upf
Hg 200.59 Hg.upf
ATOMIC_POSITIONS crystal
Sm 0.0000 0.0000 0.0000
Sm 0.0311 0.9686 0.4994
Sm 0.1870 0.6244 0.8106
Sm 0.4663 0.5569 0.1978
Sm 0.5461 0.8932 0.6129
Sm 0.5878 0.4350 0.6965
Sm 0.6543 0.1542 0.3090
Sm 0.9234 0.5139 0.1118
Co 0.2759 0.8669 0.2503
Co 0.6815 0.7712 0.0597
Co 0.8034 0.6492 0.5592
Co 0.8978 0.2455 0.7493
Hg 0.1590 0.3790 0.4051
Hg 0.4090 0.1290 0.9044
CELL_PARAMETERS angstrom
7.1739 0.0000 0.0000
-1.9722 6.8985 0.0000
-2.5984 -3.4492 7.0565